# LiScC

An optimized crystal structure of LiScC (PBE, the Alexandria database). Values from VASP.

Properties
Density: 2.129 g/cm³
D(E_F): 1.58 states/eV per cell
Total magnetic moment: 0.000 μB/cell
Energy of formation: 0.37 eV/atom

Cell and atoms, written as Quantum ESPRESSO input:
```
&SYSTEM
  ibrav = 0, nat = 3, ntyp = 3
/
ATOMIC_SPECIES
Sc 44.96 Sc.upf
C 12.01 C.upf
Li 6.94 Li.upf
CELL_PARAMETERS angstrom
-0.633 2.362 2.834
0.192 -3.683 0.640
4.046 0.322 0.636
ATOMIC_POSITIONS angstrom
Sc -0.083 -1.668 1.372
C -0.358 0.347 2.103
Li 2.023 0.161 0.318
```

***

# LiScC

An optimized crystal structure of LiScC (PBE, the Alexandria database). Values from VASP.

Properties
Density: 3.039 g/cm³
D(E_F): 0.00 states/eV per cell
Total magnetic moment: 0.000 μB/cell
Energy of formation: -0.09 eV/atom

Cell and atoms, written as Quantum ESPRESSO input:
```
&SYSTEM
  ibrav = 0, nat = 6, ntyp = 3
/
ATOMIC_SPECIES
Sc 44.96 Sc.upf
C 12.01 C.upf
Li 6.94 Li.upf
CELL_PARAMETERS angstrom
0.030 2.523 -2.508
-1.782 -3.030 -0.546
-5.219 2.607 2.559
ATOMIC_POSITIONS angstrom
Sc -4.023 2.010 1.973
Sc -1.413 0.706 0.693
C -4.326 0.394 0.344
C -1.112 0.941 -1.590
Li -1.252 -1.142 -1.164
Li -3.257 2.012 -0.538
```

***

# Li2ScC2

An optimized crystal structure of Li2ScC2 (PBE, the Alexandria database). Values from VASP.

Properties
Density: 2.305 g/cm³
D(E_F): 5.12 states/eV per cell
Total magnetic moment: 0.000 μB/cell
Energy of formation: 0.07 eV/atom

Cell and atoms, written as Quantum ESPRESSO input:
```
&SYSTEM
  ibrav = 0, nat = 10, ntyp = 3
/
ATOMIC_SPECIES
Sc 44.96 Sc.upf
C 12.01 C.upf
Li 6.94 Li.upf
CELL_PARAMETERS angstrom
-1.163 -4.158 -3.545
2.603 -3.608 3.378
-3.289 -0.649 1.841
ATOMIC_POSITIONS angstrom
Sc 0.000 0.000 0.000
Sc 0.720 -3.883 -0.083
C 1.898 -5.020 1.620
C 0.462 -5.915 -1.261
C -0.458 -2.746 -1.787
C 0.978 -1.851 1.095
Li -0.123 -3.314 2.584
Li -0.198 -6.096 1.470
Li -1.726 -5.102 -0.910
Li -1.651 -2.320 0.204
```

***

# LiScC

An optimized crystal structure of LiScC (PBE, the Alexandria database). Values from VASP.

Properties
Density: 2.282 g/cm³
D(E_F): 4.28 states/eV per cell
Total magnetic moment: 0.369 μB/cell
Energy of formation: -0.01 eV/atom

Cell and atoms, written as Quantum ESPRESSO input:
```
&SYSTEM
  ibrav = 0, nat = 6, ntyp = 3
/
ATOMIC_SPECIES
Sc 44.96 Sc.upf
C 12.01 C.upf
Li 6.94 Li.upf
CELL_PARAMETERS angstrom
2.915 -1.683 0.000
0.000 3.365 0.000
0.000 0.000 9.484
ATOMIC_POSITIONS angstrom
Sc 0.972 1.683 2.653
Sc 0.972 1.683 6.831
C 0.000 0.000 4.056
C 0.000 0.000 5.428
Li 1.943 0.000 0.000
Li 1.943 0.000 4.742
```

***

# LiScC

An optimized crystal structure of LiScC (PBE, the Alexandria database). Values from VASP.

Properties
Density: 2.663 g/cm³
D(E_F): 0.00 states/eV per cell
Total magnetic moment: 0.000 μB/cell
Energy of formation: -0.16 eV/atom

Cell and atoms, written as Quantum ESPRESSO input:
```
&SYSTEM
  ibrav = 0, nat = 6, ntyp = 3
/
ATOMIC_SPECIES
Sc 44.96 Sc.upf
C 12.01 C.upf
Li 6.94 Li.upf
CELL_PARAMETERS angstrom
-2.802 -3.801 4.522
0.613 -5.395 3.643
0.450 -2.386 6.071
ATOMIC_POSITIONS angstrom
Sc -0.197 -1.310 1.610
Sc -1.543 -10.273 12.626
C -0.423 -2.814 3.459
C -1.317 -8.769 10.777
Li -0.627 -4.173 5.129
Li -1.113 -7.410 9.108
```

***

# LiScC

An optimized crystal structure of LiScC (PBE, the Alexandria database). Values from VASP.

Properties
Density: 3.075 g/cm³
D(E_F): 0.00 states/eV per cell
Total magnetic moment: 0.000 μB/cell
Energy of formation: -0.16 eV/atom

Cell and atoms, written as Quantum ESPRESSO input:
```
&SYSTEM
  ibrav = 0, nat = 12, ntyp = 3
/
ATOMIC_SPECIES
Sc 44.96 Sc.upf
C 12.01 C.upf
Li 6.94 Li.upf
CELL_PARAMETERS angstrom
-2.356 -5.346 0.347
0.209 0.130 3.416
-6.290 2.790 0.278
ATOMIC_POSITIONS angstrom
Sc -7.379 -2.813 1.416
Sc -3.135 -1.888 2.839
Sc -1.059 0.387 2.625
Sc -5.302 -0.539 1.203
C -2.981 -0.347 1.054
C -5.928 1.326 2.887
C -5.456 -2.080 2.988
C -2.509 -3.752 1.154
Li -4.798 -3.345 1.279
Li -7.296 -0.655 3.046
Li -3.639 0.919 2.763
Li -1.141 -1.772 0.995
```

***

The highest energy of formation belongs to which entry?
number 1

***

Which of these has the highest D(E_F)?
Li2ScC2

***

Which of these has the highest total magnetic moment?
number 4

***

Copy entry 3 word for word.
# Li2ScC2

An optimized crystal structure of Li2ScC2 (PBE, the Alexandria database). Values from VASP.

Properties
Density: 2.305 g/cm³
D(E_F): 5.12 states/eV per cell
Total magnetic moment: 0.000 μB/cell
Energy of formation: 0.07 eV/atom

Cell and atoms, written as Quantum ESPRESSO input:
```
&SYSTEM
  ibrav = 0, nat = 10, ntyp = 3
/
ATOMIC_SPECIES
Sc 44.96 Sc.upf
C 12.01 C.upf
Li 6.94 Li.upf
CELL_PARAMETERS angstrom
-1.163 -4.158 -3.545
2.603 -3.608 3.378
-3.289 -0.649 1.841
ATOMIC_POSITIONS angstrom
Sc 0.000 0.000 0.000
Sc 0.720 -3.883 -0.083
C 1.898 -5.020 1.620
C 0.462 -5.915 -1.261
C -0.458 -2.746 -1.787
C 0.978 -1.851 1.095
Li -0.123 -3.314 2.584
Li -0.198 -6.096 1.470
Li -1.726 -5.102 -0.910
Li -1.651 -2.320 0.204
```